The following is a GGA-PBE calculation of an optimized crystal structure of GdPuSc, from the Open Quantum Materials Database.

Cell lengths 7.3327, 7.3327, 7.3327 Å; angles 90.00, 90.00, 90.00 degrees
Space group F-43m (No. 216)
Asymmetric unit:
Gd 0.0000 0.0000 0.0000
Pu 0.0000 0.0000 0.5000
Sc 0.2500 0.2500 0.2500

Summary:
VASP energy: -91.38 eV for the cell shown
formation enthalpy at 0 K: 755 meV per atom
crystal system: cubic

=====

The following is a GGA-PBE calculation of an optimized crystal structure of GdPuSi, from the Open Quantum Materials Database.

Cell lengths 6.7517, 6.7517, 6.7517 Å; angles 90.00, 90.00, 90.00 degrees
Space group F-43m (No. 216)
Asymmetric unit:
Gd 0.0000 0.0000 0.0000
Pu 0.0000 0.0000 0.5000
Si 0.2500 0.2500 0.2500

Summary:
VASP energy: -99.78 eV for the cell shown
crystal system: cubic

=====

The following is a GGA-PBE calculation of an optimized crystal structure of SmGdPu, from the Open Quantum Materials Database.

Cell lengths 7.5658, 7.5658, 7.5658 Å; angles 90.00, 90.00, 90.00 degrees
Space group F-43m (No. 216)
Asymmetric unit:
Sm 0.0000 0.0000 0.0000
Gd 0.2500 0.2500 0.7500
Pu 0.2500 0.2500 0.2500

Summary:
VASP energy: -84.04 eV for the cell shown
formation enthalpy at 0 K: 827 meV per atom
crystal system: cubic

=====

The following is a GGA-PBE calculation of an optimized crystal structure of SrGdPu, from the Open Quantum Materials Database.

Cell lengths 7.9318, 7.9318, 7.9318 Å; angles 90.00, 90.00, 90.00 degrees
Space group F-43m (No. 216)
Asymmetric unit:
Sr 0.0000 0.0000 0.0000
Gd 0.0000 0.0000 0.5000
Pu 0.2500 0.2500 0.7500

Summary:
VASP energy: -70.50 eV for the cell shown
crystal system: cubic

=====

The following is a GGA-PBE calculation of an optimized crystal structure of GdPuTa, from the Open Quantum Materials Database.

Cell lengths 6.9058, 6.9058, 6.9058 Å; angles 90.00, 90.00, 90.00 degrees
Space group F-43m (No. 216)
Asymmetric unit:
Gd 0.0000 0.0000 0.0000
Pu 0.2500 0.2500 0.2500
Ta 0.0000 0.0000 0.5000

Summary:
VASP energy: -108.65 eV for the cell shown
formation enthalpy at 0 K: 1157 meV per atom
crystal system: cubic

=====

The following is a GGA-PBE calculation of an optimized crystal structure of GdPuTc, from the Open Quantum Materials Database.

Cell lengths 6.6206, 6.6206, 6.6206 Å; angles 90.00, 90.00, 90.00 degrees
Space group F-43m (No. 216)
Asymmetric unit:
Gd 0.0000 0.0000 0.0000
Pu 0.2500 0.2500 0.2500
Tc 0.0000 0.0000 0.5000

Summary:
VASP energy: -107.26 eV for the cell shown
formation enthalpy at 0 K: 776 meV per atom
crystal system: cubic

=====

The following is a GGA-PBE calculation of an optimized crystal structure of GdPuTe6, from the Open Quantum Materials Database.

Cell lengths 4.3619, 4.3599, 26.3465 Å; angles 90.00, 90.00, 90.00 degrees
Space group Amm2 (No. 38)
Asymmetric unit:
Gd 0.0000 0.0000 0.0000
Pu 0.5000 0.0000 0.3402
Te 0.0000 0.0000 0.2469
Te 0.0000 0.0000 0.5949
Te 0.0000 0.0000 0.8745
Te 0.5000 0.0000 0.0951
Te 0.5000 0.0000 0.4639
Te 0.5000 0.0000 0.7469

Summary:
VASP energy: -88.93 eV for the cell shown
crystal system: orthorhombic

=====

The following is a GGA-PBE calculation of an optimized crystal structure of GdPuTh, from the Open Quantum Materials Database.

Cell lengths 7.4234, 7.4234, 7.4234 Å; angles 90.00, 90.00, 90.00 degrees
Space group F-43m (No. 216)
Asymmetric unit:
Gd 0.0000 0.0000 0.0000
Pu 0.2500 0.2500 0.7500
Th 0.0000 0.0000 0.5000

Summary:
VASP energy: -96.15 eV for the cell shown
formation enthalpy at 0 K: 719 meV per atom
crystal system: cubic

=====

The following is a GGA-PBE calculation of an optimized crystal structure of GdTmPu, from the Open Quantum Materials Database.

Cell lengths 7.3827, 7.3827, 7.3827 Å; angles 90.00, 90.00, 90.00 degrees
Space group F-43m (No. 216)
Asymmetric unit:
Gd 0.0000 0.0000 0.0000
Tm 0.0000 0.0000 0.5000
Pu 0.2500 0.2500 0.7500

Summary:
VASP energy: -83.26 eV for the cell shown
formation enthalpy at 0 K: 814 meV per atom
crystal system: cubic

=====

The following is a GGA-PBE calculation of an optimized crystal structure of GdPuW, from the Open Quantum Materials Database.

Cell lengths 6.7894, 6.7894, 6.7894 Å; angles 90.00, 90.00, 90.00 degrees
Space group F-43m (No. 216)
Asymmetric unit:
Gd 0.0000 0.0000 0.0000
Pu 0.0000 0.0000 0.5000
W 0.2500 0.2500 0.7500

Summary:
VASP energy: -117.99 eV for the cell shown
formation enthalpy at 0 K: 748 meV per atom
crystal system: cubic

=====

The following is a GGA-PBE calculation of an optimized crystal structure of GdPuZr, from the Open Quantum Materials Database.

Cell lengths 6.9680, 6.9680, 6.9680 Å; angles 90.00, 90.00, 90.00 degrees
Space group F-43m (No. 216)
Asymmetric unit:
Gd 0.0000 0.0000 0.0000
Pu 0.2500 0.2500 0.7500
Zr 0.0000 0.0000 0.5000

Summary:
VASP energy: -98.20 eV for the cell shown
formation enthalpy at 0 K: 926 meV per atom
crystal system: cubic

=====

The following is a GGA-PBE calculation of an optimized crystal structure of RbGd, from the Open Quantum Materials Database.

Cell lengths 6.7667, 6.7667, 6.0555 Å; angles 90.00, 90.00, 120.00 degrees
Space group P6_3/mmc (No. 194)
Asymmetric unit:
Rb 0.3333 0.6667 0.2500
Gd 0.0000 0.0000 0.0000

Summary:
VASP energy: -7.31 eV for the cell shown
crystal system: hexagonal

=====

The following is a GGA-PBE calculation of an optimized crystal structure of Rb2Gd, from the Open Quantum Materials Database.

Cell lengths 9.7848, 9.7848, 9.7848 Å; angles 90.00, 90.00, 90.00 degrees
Space group Fm-3m (No. 225)
Asymmetric unit:
Rb 0.2500 0.2500 0.2500
Gd 0.0000 0.0000 0.0000

Summary:
VASP energy: -13.84 eV for the cell shown
crystal system: cubic

=====

The following is a GGA-PBE calculation of an optimized crystal structure of RbGd, from the Open Quantum Materials Database.

Cell lengths 9.0958, 9.0958, 9.0958 Å; angles 90.00, 90.00, 90.00 degrees
Space group F-43m (No. 216)
Asymmetric unit:
Rb 0.0000 0.0000 0.0000
Gd 0.2500 0.2500 0.2500

Summary:
VASP energy: -7.58 eV for the cell shown
crystal system: cubic

=====

The following is a GGA-PBE calculation of an optimized crystal structure of RbGd, from the Open Quantum Materials Database.

Cell lengths 7.2800, 7.2800, 7.2800 Å; angles 90.00, 90.00, 90.00 degrees
Space group Fm-3m (No. 225)
Asymmetric unit:
Rb 0.0000 0.0000 0.0000
Gd 0.0000 0.0000 0.5000

Summary:
VASP energy: -11.95 eV for the cell shown
crystal system: cubic

=====

The following is a GGA-PBE calculation of an optimized crystal structure of RbGd, from the Open Quantum Materials Database.

Cell lengths 6.0532, 6.0532, 6.5793 Å; angles 90.00, 90.00, 120.00 degrees
Space group P6_3/mmc (No. 194)
Asymmetric unit:
Rb 0.0000 0.0000 0.0000
Gd 0.3333 0.6667 0.2500

Summary:
VASP energy: -5.67 eV for the cell shown
crystal system: hexagonal

=====

The following is a GGA-PBE calculation of an optimized crystal structure of RbGd, from the Open Quantum Materials Database.

Cell lengths 7.3932, 3.7311, 6.5016 Å; angles 90.00, 90.00, 90.00 degrees
Space group Amm2 (No. 38)
Asymmetric unit:
Rb 0.0000 0.0000 0.0000
Gd 0.5000 0.0000 0.3329

Summary:
VASP energy: -8.85 eV for the cell shown
crystal system: orthorhombic

=====

The following is a GGA-PBE calculation of an optimized crystal structure of Rb2Gd, from the Open Quantum Materials Database.

Cell lengths 10.9614, 10.9614, 10.9614 Å; angles 90.00, 90.00, 90.00 degrees
Space group Fd-3m (No. 227, origin choice 2)
Asymmetric unit:
Rb 0.0000 0.0000 0.0000
Gd 0.1250 0.1250 0.6250

Summary:
VASP energy: -33.80 eV for the cell shown
crystal system: cubic

=====

The following is a GGA-PBE calculation of an optimized crystal structure of RbGdS4, from the Open Quantum Materials Database.

Cell lengths 5.9841, 5.9841, 8.3213 Å; angles 90.00, 90.00, 90.00 degrees
Space group P4/nbm (No. 125, origin choice 2)
Asymmetric unit:
Rb 0.2500 0.2500 0.0000
Gd 0.2500 0.2500 0.5000
S 0.1253 0.6253 0.3030

Summary:
VASP energy: -58.85 eV for the cell shown
crystal system: tetragonal

=====

The following is a GGA-PBE calculation of an optimized crystal structure of Rb2GdScS4, from the Open Quantum Materials Database.

Cell lengths 3.9919, 3.9919, 15.2787 Å; angles 90.00, 90.00, 120.00 degrees
Space group P-3m1 (No. 164)
Asymmetric unit:
Rb 0.3333 0.6667 0.2435
Gd 0.0000 0.0000 0.5000
Sc 0.0000 0.0000 0.0000
S 0.3333 0.6667 0.6007
S 0.3333 0.6667 0.9119

Summary:
VASP energy: -43.56 eV for the cell shown
crystal system: trigonal